Entry 1:
## Ti2NbV2 (PBE)

Data for Ti2NbV2 after structural relaxation.

Structure (extended XYZ):
```
10
Lattice="6.907 0.000 0.000 0.000 6.907 0.000 0.000 0.000 3.418" Properties=species:S:1:pos:R:3 pbc="T T T"
Ti 1.123 2.331 0.000
Ti 2.331 5.784 0.000
Ti 4.576 1.123 0.000
Ti 5.784 4.576 0.000
Nb 0.000 0.000 1.709
Nb 3.453 3.453 1.709
V 0.943 4.396 1.709
V 2.510 0.943 1.709
V 4.396 5.964 1.709
V 5.964 2.510 1.709
```

Summary:
energy relative to the elements = 1.12 eV/f.u.
symmetry = P4/mbm, No. 127
polymorph energy (0 for the lowest one) = 15.8 meV per atom
electronic total energy = -85.946 eV/cell


Entry 2:
## Ti2NbV2 (PBE)

Data for Ti2NbV2 after structural relaxation.

Structure (extended XYZ):
```
10
Lattice="7.254 0.000 0.000 0.000 7.254 0.000 0.000 0.000 3.093" Properties=species:S:1:pos:R:3 pbc="T T T"
Ti 1.052 2.575 0.000
Ti 2.575 6.202 0.000
Ti 4.679 1.052 0.000
Ti 6.202 4.679 0.000
Nb 0.000 0.000 0.000
Nb 3.627 3.627 0.000
V 1.035 4.662 1.546
V 2.592 1.035 1.546
V 4.662 6.219 1.546
V 6.219 2.592 1.546
```

Summary:
energy relative to the elements = 1.65 eV/f.u.
symmetry = P4/mbm, No. 127
polymorph energy (0 for the lowest one) = 121.5 meV per atom
electronic total energy = -84.889 eV/cell